Entry 1:
Density functional theory data (PBE-GGA) for Pm8GaRu2 after structural relaxation.

density of states at the Fermi level	1.086	states/eV/atom
formation enthalpy at 0 K	-1.61	eV per formula unit
E_tot	-61.19	eV for the cell shown

a = 8.0060 Å, b = 8.0060 Å, c = 5.6211 Å
α = 98.40°, β = 98.40°, γ = 113.12°
Positions (direct):
Pm (0.0723, 0.3262, 0.5680)
Pm (0.2411, 0.7589, 0.0000)
Pm (0.3262, 0.0723, 0.5680)
Pm (0.3816, 0.3816, 0.1935)
Pm (0.6184, 0.6184, 0.8065)
Pm (0.6738, 0.9277, 0.4320)
Pm (0.7589, 0.2411, 0.0000)
Pm (0.9277, 0.6738, 0.4320)
Ga (0.0000, 0.0000, 0.0000)
Ru (0.3027, 0.6973, 0.5000)
Ru (0.6973, 0.3027, 0.5000)

---

Entry 2:
Density functional theory data (PBE-GGA) for Pm4Ga5Ru2 after structural relaxation.

density of states at the Fermi level	0.749	states/eV/atom
formation enthalpy at 0 K	-4.92	eV per formula unit
E_tot	-57.61	eV for the cell shown

a = 7.1034 Å, b = 4.1454 Å, c = 8.6816 Å
α = 90.00°, β = 92.38°, γ = 90.00°
Positions (direct):
Pm (0.2099, 0.0000, 0.1613)
Pm (0.2467, 0.0000, 0.6230)
Pm (0.7533, 0.0000, 0.3770)
Pm (0.7901, 0.0000, 0.8387)
Ga (0.1290, 0.5000, 0.8876)
Ga (0.4104, 0.5000, 0.3685)
Ga (0.5000, 0.5000, 0.0000)
Ga (0.5896, 0.5000, 0.6315)
Ga (0.8710, 0.5000, 0.1124)
Ru (0.0526, 0.5000, 0.3694)
Ru (0.9474, 0.5000, 0.6306)